First-principles (PBE-GGA) data for a geometry-optimized K24Rb5 structure, as listed in Alexandria.

Its density is 1.03 g/cm3. As for the size of the total moment: 0.00 μB per formula unit. The calculation puts the density of states at the Fermi level at 38.84 states/eV per cell. The calculation puts the energy relative to the elements at 0.0074 eV per atom. For the volume, the calculation gives 4392.4 Å³ per cell.

It has space group I-43m (No. 217), with a = 16.377 Å, b = 16.377 Å, c = 16.377 Å, α = 90.00°, β = 90.00° and γ = 90.00°. The distinct sites, in fractional coordinates, are K at (0.042, 0.363, 0.637), K at (0.093, 0.093, 0.717), Rb at (0.000, 0.000, 0.000) and Rb at (0.182, 0.182, 0.182).

First-principles (PBE-GGA) data for a geometry-optimized K2Rb7 structure, as listed in Alexandria.

Its density is 1.30 g/cm3. As for the size of the total moment: 0.00 μB per formula unit. The calculation puts the density of states at the Fermi level at 45.62 states/eV per cell. Its distance to the lowest polymorph of the same formula is 60 meV/atom. The calculation puts the energy relative to the elements at 0.0666 eV per atom. For the volume, the calculation gives 5169.9 Å³ per cell.

It has space group R-3m (No. 166, hexagonal axes), with a = 9.1121 Å, b = 9.1121 Å, c = 71.8977 Å, α = 90.00°, β = 90.00° and γ = 120.00°. The distinct sites, in fractional coordinates, are K at (0.0000, 0.0000, 0.0753), K at (0.0000, 0.0000, 0.1537), Rb at (0.0000, 0.0000, 0.2755), Rb at (0.0000, 0.0000, 0.3915), Rb at (0.0000, 0.0000, 0.5000), Rb at (0.0000, 0.5000, 0.0000) and Rb at (0.0054, 0.5027, 0.8849).

First-principles (PBE-GGA) data for a geometry-optimized K2Rb3 structure, as listed in Alexandria.

Its density is 1.30 g/cm3. As for the size of the total moment: 0.00 μB per formula unit. The calculation puts the density of states at the Fermi level at 26.81 states/eV per cell. Its distance to the lowest polymorph of the same formula is 0 meV/atom. The calculation puts the energy relative to the elements at 0.0323 eV per atom. For the volume, the calculation gives 2559.1 Å³ per cell.

It has space group R-3c (No. 167, hexagonal axes), with a = 13.4074 Å, b = 13.4074 Å, c = 16.4387 Å, α = 90.00°, β = 90.00° and γ = 120.00°. The distinct sites, in fractional coordinates, are K at (0.0000, 0.0000, 0.1246) and Rb at (0.0000, 0.3284, 0.2500).

First-principles (PBE-GGA) data for a geometry-optimized KRb4 structure, as listed in Alexandria.

Its density is 1.20 g/cm3. As for the size of the total moment: 0.00 μB per formula unit. The calculation puts the density of states at the Fermi level at 4.50 states/eV per cell. Its distance to the lowest polymorph of the same formula is 143 meV/atom. The calculation puts the energy relative to the elements at 0.1487 eV per atom. For the volume, the calculation gives 526.7 Å³ per cell.

It has space group Pm-3m (No. 221), with a = 8.076 Å, b = 8.076 Å, c = 8.076 Å, α = 90.00°, β = 90.00° and γ = 90.00°. The distinct sites, in fractional coordinates, are K at (0.000, 0.000, 0.000), Rb at (0.000, 0.000, 0.500) and Rb at (0.500, 0.500, 0.500).

Please write out number 4 again, unchanged.
First-principles (PBE-GGA) data for a geometry-optimized KRb4 structure, as listed in Alexandria.

Its density is 1.20 g/cm3. As for the size of the total moment: 0.00 μB per formula unit. The calculation puts the density of states at the Fermi level at 4.50 states/eV per cell. Its distance to the lowest polymorph of the same formula is 143 meV/atom. The calculation puts the energy relative to the elements at 0.1487 eV per atom. For the volume, the calculation gives 526.7 Å³ per cell.

It has space group Pm-3m (No. 221), with a = 8.076 Å, b = 8.076 Å, c = 8.076 Å, α = 90.00°, β = 90.00° and γ = 90.00°. The distinct sites, in fractional coordinates, are K at (0.000, 0.000, 0.000), Rb at (0.000, 0.000, 0.500) and Rb at (0.500, 0.500, 0.500).